Record 1
CaHgRh | PBE | relaxed

abc: 4.5121 4.5121 13.5698
angles: 90.00 90.00 90.00
With the nearest neighbours (Å) after each atom.
Space group I4/mmm (No. 139)
One atom of each set of equivalent atoms:
Ca (0.0000, 0.0000, 0.1409) [4 per cell]  4 Rh 2.96, 5 Hg 3.20
Hg (0.0000, 0.0000, 0.3767) [4 per cell]  4 Rh 2.81
Rh (0.0000, 0.5000, 0.0000) [4 per cell]  4 Hg 2.81, 4 Ca 2.96

## Properties
ΔE_f   -343 meV/atom

---

Record 2
Cs2Sn3Hg5 | PBE | relaxed

abc: 5.2183 5.2183 12.7016
angles: 90.00 90.00 90.00
With the nearest neighbours (Å) after each atom.
Space group P-4m2 (No. 115)
One atom of each set of equivalent atoms:
Cs (0.0000, 0.5000, 0.2479) [2 per cell]  10 Hg 3.96-4.13, 6 Sn 4.03-4.13
Sn (0.0000, 0.5000, 0.6246) [2 per cell]  2 Sn 3.05, 3 Hg 3.05-3.06
Sn (0.5000, 0.5000, 0.5000) [1 per cell]  4 Sn 3.05
Hg (0.0000, 0.0000, 0.0000) [1 per cell]  4 Hg 3.12
Hg (0.0000, 0.0000, 0.5000) [1 per cell]  4 Sn 3.05
Hg (0.0000, 0.5000, 0.8652) [2 per cell]  1 Sn 3.06, 4 Hg 3.12
Hg (0.5000, 0.5000, 0.0000) [1 per cell]  4 Hg 3.12

## Properties
ΔE_f   -173 meV/atom